Density functional theory data (PBE) for an optimized crystal structure of K2Cd2H.

Values from the calculation:
total energy = -1.25 eV/atom
SG = I4/mmm (139)

```
K2Cd2H
1.0
-3.784 -3.017 5.103
3.872 -5.842 -0.582
2.274 -3.189 4.647
H Cd K
1 2 2
direct
0.000 0.000 0.000 H
0.709 0.709 0.582 Cd
0.291 0.291 0.418 Cd
0.250 0.750 0.500 K
0.750 0.250 0.500 K
```


Density functional theory data (PBE) for an optimized crystal structure of CuBCl6.

Values from the calculation:
SG = P-1 (2)
energy relative to the elements, uncorrected = -388 meV per atom

```
CuBCl6
1.0
-3.754 3.922 -2.993
-1.784 -3.670 -5.985
-5.176 -0.088 3.413
Cu Cl B
1 6 1
direct
0.500 0.500 0.500 Cu
0.832 0.000 0.831 Cl
0.199 0.549 0.795 Cl
0.801 0.451 0.205 Cl
0.570 0.179 0.431 Cl
0.430 0.821 0.569 Cl
0.168 0.000 0.169 Cl
0.000 0.000 0.000 B
```


Density functional theory data (PBE) for an optimized crystal structure of TlSnPd2.

Values from the calculation:
formation energy = -258.4 meV per atom
SG = P4/mmm (123)

```
TlSnPd2
1.0
3.328 0.000 0.000
0.000 3.328 0.000
0.000 0.000 6.996
Pd Tl Sn
2 1 1
direct
0.000 0.000 0.775 Pd
0.000 0.000 0.225 Pd
0.500 0.500 0.500 Tl
0.500 0.500 0.000 Sn
```


| no. | density (kg/m3) |
| --- | --- |
| 1 | 2921 |
| 2 | 1901 |
| 3 | 11483 |